(1)
## Ga3CuAu6 (PBE)

Data for a geometry-optimized Ga3CuAu6 structure.

D(E_F)   5.41 states/eV/cell
Calculated volume   17.55 Å³ per atom
Calculated formation energy   -83 kJ/mol of formula units
Raw total energy   -67.40 eV for the cell shown

Structure (POSCAR):
```
Ga3CuAu6
1.0
6.1911 3.5745 2.6431
-6.1911 3.5745 2.6431
0.0000 -7.1489 2.6431
Ga Cu Au
6 2 12
Direct
0.0641 0.3906 0.2596
0.2596 0.0641 0.3906
0.3906 0.2596 0.0641
0.6094 0.7404 0.9359
0.7404 0.9359 0.6094
0.9359 0.6094 0.7404
0.0000 0.0000 0.0000
0.5000 0.5000 0.5000
0.0494 0.3309 0.8955
0.1045 0.9506 0.6691
0.2096 0.4770 0.6600
0.3309 0.8955 0.0494
0.3400 0.7904 0.5230
0.4770 0.6600 0.2096
0.5230 0.3400 0.7904
0.6600 0.2096 0.4770
0.6691 0.1045 0.9506
0.7904 0.5230 0.3400
0.8955 0.0494 0.3309
0.9506 0.6691 0.1045
```


(2)
## BeCoIr2Ru (PBE)

Data for a geometry-optimized BeCoIr2Ru structure.

D(E_F)   6.13 states/eV/cell
Calculated volume   17.84 Å³ per atom
Calculated formation energy   755 kJ/mol of formula units
Raw total energy   -30.01 eV for the cell shown

Structure (POSCAR):
```
BeCoIr2Ru
1.0
4.6752 0.0000 0.0000
0.0000 4.6752 0.0000
0.0000 0.0000 4.0804
Be Co Ir Ru
1 1 2 1
Direct
0.0000 0.0000 0.0000
0.5000 0.5000 0.0000
0.0000 0.5000 0.5000
0.5000 0.0000 0.5000
0.0000 0.0000 0.5000
```


(3)
## LiTmGa4O8 (PBE)

Data for a geometry-optimized LiTmGa4O8 structure.

D(E_F)   0.00 states/eV/cell
Raw formation energy   -49.3 kcal/mol of atoms
Calculated volume   11.17 Å³ per atom
Raw total energy   -88.07 eV for the cell shown

Structure (POSCAR):
```
LiTmGa4O8
1.0
3.0266 1.7474 4.9294
-3.0266 1.7474 4.9294
0.0000 -3.4948 4.9294
Li Tm Ga O
1 1 4 8
Direct
0.0000 0.0000 0.0000
0.6215 0.6215 0.6215
0.0000 0.0000 0.5082
0.0000 0.5082 0.0000
0.3856 0.3856 0.3856
0.5082 0.0000 0.0000
0.2046 0.7596 0.7596
0.2502 0.2502 0.2502
0.2539 0.2539 0.7744
0.2539 0.7744 0.2539
0.7596 0.2046 0.7596
0.7596 0.7596 0.2046
0.7635 0.7635 0.7635
0.7744 0.2539 0.2539
```


(4)
## Pr2UGe3Pt4 (PBE)

Data for a geometry-optimized Pr2UGe3Pt4 structure.

D(E_F)   12.15 states/eV/cell
Calculated volume   21.05 Å³ per atom
Calculated formation energy   -792 kJ/mol of formula units
Raw total energy   -67.07 eV for the cell shown

Structure (POSCAR):
```
Pr2UGe3Pt4
1.0
4.3642 0.0000 0.0000
0.0000 4.3642 0.0000
0.0000 0.0000 11.0517
Pr U Ge Pt
2 1 3 4
Direct
0.0000 0.5000 0.2248
0.5000 0.0000 0.7752
0.0000 0.0000 0.5000
0.0000 0.5000 0.8789
0.5000 0.0000 0.1211
0.5000 0.5000 0.5000
0.0000 0.0000 0.0000
0.0000 0.5000 0.6548
0.5000 0.0000 0.3452
0.5000 0.5000 0.0000
```


(5)
## HoLuAgAu (PBE)

Data for a geometry-optimized HoLuAgAu structure.

D(E_F)   2.75 states/eV/cell
Calculated volume   22.76 Å³ per atom
Calculated formation energy   -235 kJ/mol of formula units
Raw total energy   -17.66 eV for the cell shown

Structure (POSCAR):
```
HoLuAgAu
1.0
0.0000 3.5706 3.5706
3.5706 0.0000 3.5706
3.5706 3.5706 0.0000
Ho Lu Ag Au
1 1 1 1
Direct
0.0000 0.0000 0.0000
0.5000 0.5000 0.5000
0.2500 0.2500 0.2500
0.7500 0.7500 0.7500
```


(6)
## LiDyBeAl (PBE)

Data for a geometry-optimized LiDyBeAl structure.

D(E_F)   1.33 states/eV/cell
Calculated volume   16.41 Å³ per atom
Calculated formation energy   -54 kJ/mol of formula units
Raw total energy   -14.54 eV for the cell shown

Structure (POSCAR):
```
LiDyBeAl
1.0
0.0000 3.2016 3.2016
3.2016 0.0000 3.2016
3.2016 3.2016 0.0000
Li Dy Be Al
1 1 1 1
Direct
0.0000 0.0000 0.0000
0.2500 0.2500 0.2500
0.5000 0.5000 0.5000
0.7500 0.7500 0.7500
```


(7)
## Rb2AlS (PBE)

Data for a geometry-optimized Rb2AlS structure.

D(E_F)   3.53 states/eV/cell
Raw formation energy   0.5 kcal/mol of atoms
Calculated volume   35.05 Å³ per atom
Raw total energy   -9.72 eV for the cell shown

Structure (POSCAR):
```
Rb2AlS
1.0
0.0000 4.1231 4.1231
4.1231 0.0000 4.1231
4.1231 4.1231 0.0000
Rb Al S
2 1 1
Direct
0.2500 0.2500 0.2500
0.7500 0.7500 0.7500
0.0000 0.0000 0.0000
0.5000 0.5000 0.5000
```


(8)
## Li2CeErAu4 (PBE)

Data for a geometry-optimized Li2CeErAu4 structure.

D(E_F)   10.32 states/eV/cell
Calculated volume   20.87 Å³ per atom
Calculated formation energy   -515 kJ/mol of formula units
Raw total energy   -32.77 eV for the cell shown

Structure (POSCAR):
```
Li2CeErAu4
1.0
2.3029 1.3296 9.0888
-2.3029 1.3296 9.0888
0.0000 -2.6591 9.0888
Li Ce Er Au
2 1 1 4
Direct
0.2451 0.2451 0.2451
0.7549 0.7549 0.7549
0.0000 0.0000 0.0000
0.5000 0.5000 0.5000
0.1149 0.1149 0.1149
0.3915 0.3915 0.3915
0.6085 0.6085 0.6085
0.8851 0.8851 0.8851
```


(9)
## TiV5Ga6 (PBE)

Data for a geometry-optimized TiV5Ga6 structure.

D(E_F)   12.91 states/eV/cell
Calculated volume   14.56 Å³ per atom
Calculated formation energy   -112 kJ/mol of formula units
Raw total energy   -72.81 eV for the cell shown

Structure (POSCAR):
```
TiV5Ga6
1.0
2.3258 -6.9876 0.0000
2.3258 6.9876 0.0000
0.0000 0.0000 5.3759
Ti V Ga
1 5 6
Direct
0.0000 0.0000 0.0000
0.0000 0.0000 0.5000
0.3346 0.6654 0.0000
0.3364 0.6636 0.5000
0.6636 0.3364 0.5000
0.6654 0.3346 0.0000
0.1699 0.8301 0.2530
0.1699 0.8301 0.7470
0.5000 0.5000 0.2536
0.5000 0.5000 0.7464
0.8301 0.1699 0.2530
0.8301 0.1699 0.7470
```


(10)
## Er3TmZn (PBE)

Data for a geometry-optimized Er3TmZn structure.

D(E_F)   15.53 states/eV/cell
Calculated volume   29.55 Å³ per atom
Calculated formation energy   29 kJ/mol of formula units
Raw total energy   -38.27 eV for the cell shown

Structure (POSCAR):
```
Er3TmZn
1.0
5.6151 -4.1680 0.0000
5.6151 4.1680 0.0000
-4.1607 0.0000 6.3132
Er Tm Zn
6 2 2
Direct
0.0476 0.0476 0.3079
0.1093 0.5177 0.2925
0.4823 0.8907 0.7075
0.5177 0.1093 0.2925
0.8907 0.4823 0.7075
0.9524 0.9524 0.6921
0.4195 0.4195 0.7308
0.5805 0.5805 0.2692
0.2682 0.2682 0.9421
0.7318 0.7318 0.0579
```


(11)
## UPtAu (PBE)

Data for a geometry-optimized UPtAu structure.

D(E_F)   6.01 states/eV/cell
Calculated volume   19.49 Å³ per atom
Calculated formation energy   -128 kJ/mol of formula units
Raw total energy   -21.94 eV for the cell shown

Structure (POSCAR):
```
UPtAu
1.0
4.7696 0.0000 0.0000
-2.3848 4.1306 0.0000
0.0000 0.0000 2.9680
U Pt Au
1 1 1
Direct
0.0000 0.0000 0.0000
0.6667 0.3333 0.5000
0.3333 0.6667 0.5000
```


(12)
## La3ErTc (PBE)

Data for a geometry-optimized La3ErTc structure.

D(E_F)   5.51 states/eV/cell
Calculated volume   34.06 Å³ per atom
Calculated formation energy   51 kJ/mol of formula units
Raw total energy   -29.19 eV for the cell shown

Structure (POSCAR):
```
La3ErTc
1.0
5.5429 0.0000 0.0000
0.0000 5.5429 0.0000
0.0000 0.0000 5.5429
La Er Tc
3 1 1
Direct
0.0000 0.0000 0.5000
0.0000 0.5000 0.0000
0.5000 0.0000 0.0000
0.5000 0.5000 0.5000
0.0000 0.0000 0.0000
```


(13)
## BaBi3F (PBE)

Data for a geometry-optimized BaBi3F structure.

D(E_F)   3.23 states/eV/cell
Raw formation energy   -18.5 kcal/mol of atoms
Calculated volume   29.72 Å³ per atom
Raw total energy   -19.44 eV for the cell shown

Structure (POSCAR):
```
BaBi3F
1.0
5.2966 0.0000 0.0000
0.0000 5.2966 0.0000
0.0000 0.0000 5.2966
Ba Bi F
1 3 1
Direct
0.0000 0.0000 0.0000
0.0000 0.5000 0.5000
0.5000 0.0000 0.5000
0.5000 0.5000 0.0000
0.5000 0.5000 0.5000
```


(14)
## TcCl3 (PBE)

Data for a geometry-optimized TcCl3 structure.

D(E_F)   1.58 states/eV/cell
Raw formation energy   -12.1 kcal/mol of atoms
Calculated volume   27.54 Å³ per atom
Raw total energy   -18.01 eV for the cell shown

Structure (POSCAR):
```
TcCl3
1.0
2.4175 -6.5949 0.0000
2.4175 6.5949 0.0000
0.0000 0.0000 3.4544
Tc Cl
1 3
Direct
0.0000 0.0000 0.0000
0.1279 0.8721 0.5000
0.5000 0.5000 0.0000
0.8721 0.1279 0.5000
```


(15)
## Na3Np3PdSe8 (PBE)

Data for a geometry-optimized Na3Np3PdSe8 structure.

D(E_F)   31.01 states/eV/cell
Raw formation energy   -23.2 kcal/mol of atoms
Calculated volume   26.70 Å³ per atom
Raw total energy   -90.92 eV for the cell shown

Structure (POSCAR):
```
Na3Np3PdSe8
1.0
4.0308 2.3272 7.1168
-4.0308 2.3272 7.1168
0.0000 -4.6544 7.1168
Na Np Pd Se
3 3 1 8
Direct
0.0000 0.5000 0.5000
0.5000 0.0000 0.5000
0.5000 0.5000 0.0000
0.0000 0.0000 0.5000
0.0000 0.5000 0.0000
0.5000 0.0000 0.0000
0.5000 0.5000 0.5000
0.2449 0.2449 0.2449
0.2510 0.7341 0.7341
0.2659 0.2659 0.7490
0.2659 0.7490 0.2659
0.7341 0.2510 0.7341
0.7341 0.7341 0.2510
0.7490 0.2659 0.2659
0.7551 0.7551 0.7551
```


(16)
## CdHg2Bi (PBE)

Data for a geometry-optimized CdHg2Bi structure.

D(E_F)   4.32 states/eV/cell
Calculated volume   28.03 Å³ per atom
Calculated formation energy   25 kJ/mol of formula units
Raw total energy   -10.28 eV for the cell shown

Structure (POSCAR):
```
CdHg2Bi
1.0
-2.2171 2.2171 11.4028
2.2171 -2.2171 11.4028
2.2171 2.2171 -11.4028
Cd Hg Bi
2 4 2
Direct
0.0000 0.0000 0.0000
0.7500 0.2500 0.5000
0.1187 0.6250 0.9937
0.3750 0.3687 0.4937
0.6313 0.1250 0.0063
0.8750 0.8813 0.5063
0.2500 0.7500 0.5000
0.5000 0.5000 0.0000
```


(17)
## LiCa2Ga5 (PBE)

Data for a geometry-optimized LiCa2Ga5 structure.

D(E_F)   4.60 states/eV/cell
Calculated volume   21.18 Å³ per atom
Calculated formation energy   -286 kJ/mol of formula units
Raw total energy   -48.03 eV for the cell shown

Structure (POSCAR):
```
LiCa2Ga5
1.0
2.1517 -8.4388 0.0000
2.1517 8.4388 0.0000
0.0000 0.0000 9.3316
Li Ca Ga
2 4 10
Direct
0.0531 0.9469 0.7500
0.9469 0.0531 0.2500
0.2985 0.7015 0.2500
0.5000 0.5000 0.0000
0.5000 0.5000 0.5000
0.7015 0.2985 0.7500
0.0973 0.9027 0.2500
0.1429 0.8571 0.5255
0.1429 0.8571 0.9745
0.3056 0.6944 0.6059
0.3056 0.6944 0.8941
0.6944 0.3056 0.1059
0.6944 0.3056 0.3941
0.8571 0.1429 0.0255
0.8571 0.1429 0.4745
0.9027 0.0973 0.7500
```


(18)
## RbRu2Cl2 (PBE)

Data for a geometry-optimized RbRu2Cl2 structure.

D(E_F)   6.75 states/eV/cell
Raw formation energy   5.1 kcal/mol of atoms
Calculated volume   31.67 Å³ per atom
Raw total energy   -44.19 eV for the cell shown

Structure (POSCAR):
```
RbRu2Cl2
1.0
8.5402 0.0000 0.0000
0.0000 8.5402 0.0000
0.0000 0.0000 4.3427
Rb Ru Cl
2 4 4
Direct
0.0000 0.0000 0.0000
0.5000 0.5000 0.0000
0.0924 0.4076 0.5000
0.4076 0.9076 0.5000
0.5924 0.0924 0.5000
0.9076 0.5924 0.5000
0.1514 0.3486 0.0000
0.3486 0.8486 0.0000
0.6514 0.1514 0.0000
0.8486 0.6514 0.0000
```


(19)
## K2AsCl (PBE)

Data for a geometry-optimized K2AsCl structure.

D(E_F)   1.94 states/eV/cell
Raw formation energy   -16.5 kcal/mol of atoms
Calculated volume   37.36 Å³ per atom
Raw total energy   -11.56 eV for the cell shown

Structure (POSCAR):
```
K2AsCl
1.0
4.6915 0.0000 0.0000
0.0000 4.6915 0.0000
0.0000 0.0000 6.7896
K As Cl
2 1 1
Direct
0.0000 0.0000 0.0000
0.5000 0.5000 0.4990
0.0000 0.0000 0.5001
0.5000 0.5000 0.9993
```


(20)
## Tb2Nd2S7 (PBE)

Data for a geometry-optimized Tb2Nd2S7 structure.

D(E_F)   5.39 states/eV/cell
Raw formation energy   -36.2 kcal/mol of atoms
Calculated volume   27.38 Å³ per atom
Raw total energy   -64.95 eV for the cell shown

Structure (POSCAR):
```
Tb2Nd2S7
1.0
4.8875 -5.0279 0.0000
4.8875 5.0279 0.0000
0.0000 0.0000 6.1271
Tb Nd S
2 2 7
Direct
0.2174 0.2174 0.0000
0.7826 0.7826 0.0000
0.2353 0.7647 0.5000
0.7647 0.2353 0.5000
0.0000 0.0000 0.2518
0.0000 0.0000 0.7482
0.0000 0.5000 0.2278
0.0000 0.5000 0.7722
0.5000 0.0000 0.2278
0.5000 0.0000 0.7722
0.5000 0.5000 0.5000
```